<A>
LiCo2Sn2, relaxed, DFT PBE; total magnetization = 0.05 μB/atom
1.0
-1.335 2.747 -2.434
2.006 -1.624 -2.932
-4.409 -2.914 -4.004
Sn Co Li
2 2 1
Cartesian
-2.936 -1.519 -6.370
-0.802 -0.272 -3.000
-1.034 -1.988 -4.809
-2.704 0.197 -4.561
0.000 0.000 0.000

=====

<B>
LiCo2Sn2, relaxed, DFT PBE; total magnetization = 0.00 μB/atom
1.0
-5.385 4.934 -0.413
-3.698 -4.414 -4.512
-1.345 -1.271 2.345
Li Co Sn
2 4 4
Cartesian
0.000 0.000 0.000
-4.541 0.260 -2.463
-3.893 2.536 -0.858
-5.190 -2.015 -4.068
-2.072 -0.971 -1.714
-7.011 1.492 -3.211
-4.018 -2.757 -1.895
-7.341 -1.042 -2.871
-6.410 2.006 -0.685
-3.087 0.292 0.291

=====

Top of the stability list: <B>, leading by 169 meV per atom.